No. 1
Be3RhC | PBE | optimized geometry

a = 4.1122 Å, b = 4.1122 Å, c = 4.1122 Å
α = 90.00°, β = 90.00°, γ = 90.00°
Space group Pm-3m (No. 221)
Symmetry-distinct sites (fractional):
1 Be 0.0000 0.0000 0.5000
2 Rh 0.0000 0.0000 0.0000
3 C 0.5000 0.5000 0.5000

Values from the calculation:
Energy of formation ... 1598.9 meV/atom
Offset from the most stable computed form ... 1.4873 eV per atom

***

No. 2
PrDyMnIn | PBE | optimized geometry

a = 7.5037 Å, b = 7.5037 Å, c = 7.5037 Å
α = 90.00°, β = 90.00°, γ = 90.00°
Space group F-43m (No. 216)
Symmetry-distinct sites (fractional):
1 Pr 0.0000 0.0000 0.0000
2 Dy 0.0000 0.0000 0.5000
3 Mn 0.2500 0.2500 0.7500
4 In 0.2500 0.2500 0.2500

Values from the calculation:
Energy of formation ... -67.7 meV/atom

***

No. 3
LiBeRe4 | PBE | optimized geometry

a = 7.2818 Å, b = 7.2818 Å, c = 7.2818 Å
α = 90.00°, β = 90.00°, γ = 90.00°
Space group F-43m (No. 216)
Symmetry-distinct sites (fractional):
1 Li 0.0000 0.0000 0.0000
2 Be 0.2500 0.2500 0.7500
3 Re 0.1250 0.1250 0.3750

Values from the calculation:
Energy of formation ... 663.1 meV/atom

***

No. 4
Cs2RbTe | PBE | optimized geometry

a = 13.7254 Å, b = 13.7254 Å, c = 7.1553 Å
α = 90.00°, β = 90.00°, γ = 90.00°
Space group I-42d (No. 122)
Symmetry-distinct sites (fractional):
1 Cs 0.0944 0.7500 0.1250
2 Rb 0.0000 0.0000 0.5000
3 Te 0.0000 0.0000 0.0000

Values from the calculation:
E_form (uncorrected) ... -0.633 eV/atom
Offset from the most stable computed form ... 0.0371 eV per atom

***

No. 5
PuUN2 | PBE | optimized geometry

a = 3.0052 Å, b = 3.0052 Å, c = 6.0169 Å
α = 90.00°, β = 90.00°, γ = 90.00°
Space group P4/mmm (No. 123)
Symmetry-distinct sites (fractional):
1 Pu 0.0000 0.0000 0.0000
2 U 0.0000 0.0000 0.5000
3 N 0.5000 0.5000 0.2616

Values from the calculation:
E_form (uncorrected) ... -0.623 eV/atom

***

No. 6
InRh2Au | PBE | optimized geometry

a = 3.2437 Å, b = 3.2595 Å, c = 6.2825 Å
α = 90.00°, β = 90.00°, γ = 90.00°
Space group Pmmm (No. 47)
Symmetry-distinct sites (fractional):
1 In 0.0000 0.0000 0.0000
2 Rh 0.5000 0.5000 0.2451
3 Au 0.0000 0.0000 0.5000

Values from the calculation:
Energy of formation ... -87.2 meV/atom

***

No. 7
AsRu2W | PBE | optimized geometry

a = 3.9105 Å, b = 3.9105 Å, c = 7.6696 Å
α = 90.00°, β = 90.00°, γ = 90.00°
Space group I4/mmm (No. 139)
Symmetry-distinct sites (fractional):
1 As 0.0000 0.0000 0.0000
2 Ru 0.0000 0.5000 0.2500
3 W 0.0000 0.0000 0.5000

Values from the calculation:
Energy of formation ... 158.6 meV/atom

***

The records above yield M_tot values of 0.80, 13.41, 0.00, 0.00, 7.39, 0.00, 0.00 μB/cell, respectively.
The records above yield electronic total energy values of -3.95, -5.39, -8.58, -2.09, -11.19, -5.27, -8.88 eV/atom, respectively.